1.
The following is a DFT calculation (GGA-PBE) of crystalline SrBe2ZnH8 at its relaxed geometry.

Cell: 4.695 4.695 6.593 Å, 90.04 90.04 60.01°
Atoms (fractional coordinates):
Sr1 0.000 0.000 0.500
Be1 0.667 0.667 0.244
Be2 0.333 0.333 0.756
Zn1 0.000 0.000 0.000
H1 0.668 0.167 0.822
H2 0.833 0.833 0.177
H3 0.667 0.667 0.463
H4 0.333 0.333 0.537
H5 0.167 0.167 0.823
H6 0.167 0.668 0.822
H7 0.833 0.332 0.178
H8 0.332 0.833 0.178

Values from the calculation:
Symmetry   P-3m1


2.
The following is a DFT calculation (GGA-PBE) of crystalline Li3Zn2Rh2 at its relaxed geometry.

Cell: 3.949 4.657 6.029 Å, 97.83 90.04 115.08°
Atoms (fractional coordinates):
Li1 0.000 0.000 0.000
Li2 0.288 0.575 0.833
Li3 0.712 0.425 0.167
Zn1 0.423 0.844 0.300
Zn2 0.577 0.156 0.700
Rh1 0.135 0.271 0.420
Rh2 0.865 0.729 0.580

Values from the calculation:
Formation enthalpy at 0 K   -0.248 eV per atom
Symmetry   P-1


3.
The following is a DFT calculation (GGA-PBE) of crystalline OsCBr2 at its relaxed geometry.

Cell: 4.474 4.474 4.474 Å, 60.00 60.00 60.00°
Atoms (fractional coordinates):
C1 0.000 0.000 0.000
Os1 0.500 0.500 0.500
Br1 0.250 0.250 0.250
Br2 0.750 0.750 0.750

Values from the calculation:
E_form (uncorrected)   2.369 eV per atom
Symmetry   Fm-3m


4.
The following is a DFT calculation (GGA-PBE) of crystalline SiTcAg2 at its relaxed geometry.

Cell: 4.445 4.445 4.445 Å, 120.01 120.01 89.98°
Atoms (fractional coordinates):
Ag1 0.000 0.000 0.000
Ag2 0.250 0.750 0.500
Si1 0.500 0.500 0.000
Tc1 0.750 0.250 0.500

Values from the calculation:
E_form (uncorrected)   0.348 eV per atom
Symmetry   F-43m


5.
The following is a DFT calculation (GGA-PBE) of crystalline KLaAuSe2 at its relaxed geometry.

Cell: 5.074 7.706 8.445 Å, 99.16 90.00 90.00°
Atoms (fractional coordinates):
K1 0.136 0.500 0.750
K2 0.864 0.500 0.250
La1 0.489 0.000 0.250
La2 0.511 0.000 0.750
Au1 0.000 0.000 0.000
Au2 0.000 0.000 0.500
Se1 0.665 0.744 0.967
Se2 0.665 0.256 0.533
Se3 0.335 0.744 0.467
Se4 0.335 0.256 0.033

Values from the calculation:
E_form (uncorrected)   -1.140 eV per atom
Symmetry   P2/c


6.
The following is a DFT calculation (GGA-PBE) of crystalline Si3WSe at its relaxed geometry.

Cell: 4.588 4.588 4.588 Å, 90.00 90.00 90.00°
Atoms (fractional coordinates):
Si1 0.000 0.500 0.000
Si2 0.000 0.000 0.500
Si3 0.500 0.000 0.000
Se1 0.000 0.000 0.000
W1 0.500 0.500 0.500

Values from the calculation:
E_form (uncorrected)   1.737 eV per atom
Symmetry   Pm-3m


7.
The following is a DFT calculation (GGA-PBE) of crystalline Nd3Ho3Sc2 at its relaxed geometry.

Cell: 5.021 4.988 9.818 Å, 90.00 90.00 90.00°
Atoms (fractional coordinates):
Nd1 0.500 0.000 0.500
Nd2 0.000 0.500 0.000
Nd3 0.000 0.500 0.500
Ho1 0.500 0.500 0.752
Ho2 0.500 0.500 0.248
Ho3 0.500 0.000 0.000
Sc1 0.000 0.000 0.753
Sc2 0.000 0.000 0.247

Values from the calculation:
Formation enthalpy at 0 K   0.044 eV per atom
Symmetry   Pmmm


8.
The following is a DFT calculation (GGA-PBE) of crystalline Tc2IrSe at its relaxed geometry.

Cell: 4.001 2.851 5.482 Å, 74.91 90.00 90.00°
Atoms (fractional coordinates):
Ir1 0.000 0.692 0.490
Se1 0.500 0.546 0.783
Tc1 0.000 0.942 0.991
Tc2 0.500 0.320 0.236

Values from the calculation:
E_form (uncorrected)   0.170 eV per atom
Symmetry   Amm2


9.
The following is a DFT calculation (GGA-PBE) of crystalline Ca2TmHg at its relaxed geometry.

Cell: 5.236 4.777 4.777 Å, 90.00 90.00 90.00°
Atoms (fractional coordinates):
Ca1 0.000 0.000 0.500
Ca2 0.000 0.500 0.000
Tm1 0.500 0.500 0.500
Hg1 0.500 0.000 0.000

Values from the calculation:
Formation enthalpy at 0 K   -0.110 eV per atom
Symmetry   P4/mmm


10.
The following is a DFT calculation (GGA-PBE) of crystalline YPIr2 at its relaxed geometry.

Cell: 5.690 5.690 5.690 Å, 41.93 41.93 41.93°
Atoms (fractional coordinates):
Y1 0.000 0.000 0.000
P1 0.500 0.500 0.500
Ir1 0.793 0.793 0.793
Ir2 0.207 0.207 0.207

Values from the calculation:
Formation enthalpy at 0 K   -0.607 eV per atom
Symmetry   R-3m


Number 1: total DFT energy (no corrections) -39.24 eV per formula unit. Number 2: total DFT energy (no corrections) -24.73 eV per formula unit. Number 3: total DFT energy (no corrections) -14.32 eV per formula unit. Number 4: total DFT energy (no corrections) -20.10 eV per formula unit. Number 5: total DFT energy (no corrections) -21.97 eV per formula unit. Number 6: total DFT energy (no corrections) -24.02 eV per formula unit. Number 7: total DFT energy (no corrections) -40.35 eV per formula unit. Number 8: total DFT energy (no corrections) -32.40 eV per formula unit. Number 9: total DFT energy (no corrections) -9.21 eV per formula unit. Number 10: total DFT energy (no corrections) -32.03 eV per formula unit.